A plane-wave DFT calculation with GGA-PBE was carried out for RbCrFeSe3 after structural relaxation.

Lattice parameters (Å, degrees): 3.816 8.985 9.758 113.48 90.00 90.00
Last column: magnetic moment on the atom in μB.
Fractional coordinates of all 12 atoms:
Se1 0.750 0.474 0.138  -0.11
Se2 0.250 0.526 0.862  -0.11
Se3 0.250 0.775 0.442  0.06
Se4 0.750 0.225 0.558  0.06
Se5 0.750 0.861 0.142  0.01
Se6 0.250 0.139 0.858  0.01
Rb1 0.750 0.781 0.756  0.00
Rb2 0.250 0.219 0.244  0.00
Fe1 0.750 0.932 0.408  2.93
Fe2 0.250 0.068 0.592  2.93
Cr1 0.750 0.336 0.858  3.03
Cr2 0.250 0.664 0.142  3.03

Summary:
Magnetization = 12.80 μB/cell
ΔE_f (raw) = -0.622 eV/atom

=====

A plane-wave DFT calculation with GGA-PBE was carried out for TbPrSb2 after structural relaxation.

Lattice parameters (Å, degrees): 4.484 4.484 7.754 89.96 106.83 120.03
Fractional coordinates of all 4 atoms:
Sb1 0.493 0.747 0.240
Sb2 0.507 0.253 0.760
Pr1 0.000 0.500 0.500
Tb1 0.000 0.000 0.000

Summary:
Magnetization = 0.00 μB/cell
ΔE_f (raw) = -1.167 eV/atom

=====

A plane-wave DFT calculation with GGA-PBE was carried out for LaDyInGa after structural relaxation.

Lattice parameters (Å, degrees): 5.341 5.341 5.341 60.00 60.00 60.00
Fractional coordinates of all 4 atoms:
In1 0.750 0.750 0.750
Ga1 0.250 0.250 0.250
Dy1 0.500 0.500 0.500
La1 0.000 0.000 0.000

Summary:
Magnetization = 0.00 μB/cell
Uncorrected energy = -4.331 eV per atom

=====

> Among the records above, which one has the highest magnetization?

RbCrFeSe3